(1)
# Ca2Be2H7

A relaxed Ca2Be2H7 crystal (GGA-PBE, Alexandria via LeMat-Bulk).

a b c (Å): 5.2841 5.2841 4.1118
angles (deg): 98.95 98.95 94.83
Positions (direct):
Ca: 0.2383 0.7617 0.0000
Ca: 0.7617 0.2383 0.0000
Be: 0.2620 0.2620 0.5512
Be: 0.7380 0.7380 0.4488
H: 0.0678 0.3763 0.7130
H: 0.1591 0.1591 0.2143
H: 0.3763 0.0678 0.7130
H: 0.5000 0.5000 0.5000
H: 0.6237 0.9322 0.2870
H: 0.8409 0.8409 0.7857
H: 0.9322 0.6237 0.2870

Total magnetic moment in μB per atom: 0.045
Symmetry: C2/m
DOS at the Fermi energy in states/eV/cell: 2.3
Total energy in eV per atom: -3.412



(2)
# Nb4V2Re

A relaxed Nb4V2Re crystal (GGA-PBE, Alexandria via LeMat-Bulk).

a b c (Å): 7.2319 7.2319 7.2986
angles (deg): 119.30 119.30 20.98
Positions (direct):
Nb: 0.0772 0.0772 0.2168
Nb: 0.3570 0.3570 0.0833
Nb: 0.6430 0.6430 0.9167
Nb: 0.9228 0.9228 0.7832
V: 0.2142 0.2142 0.6336
V: 0.7858 0.7858 0.3664
Re: 0.0000 0.0000 0.5000

Total magnetic moment in μB per atom: 0.000
Symmetry: C2/m
Energy of formation from the pure elements in eV/atom: 0.22
DOS at the Fermi energy in states/eV/cell: 7.0
Total energy in eV per atom: -9.922



(3)
# MgRe2SiCl

A relaxed MgRe2SiCl crystal (GGA-PBE, Alexandria via LeMat-Bulk).

a b c (Å): 4.4085 4.4085 4.4414
angles (deg): 90.00 90.00 90.00
Positions (direct):
Mg: 0.0000 0.0000 0.0000
Re: 0.0000 0.5000 0.5000
Re: 0.5000 0.0000 0.5000
Si: 0.5000 0.5000 0.0000
Cl: 0.0000 0.0000 0.5000

Total magnetic moment in μB per atom: 0.000
Symmetry: P4/mmm
Raw formation energy in eV per atom: 1.52
DOS at the Fermi energy in states/eV/cell: 5.2
Total energy in eV per atom: -5.229



(4)
# Na2SrH6Ir

A relaxed Na2SrH6Ir crystal (GGA-PBE, Alexandria via LeMat-Bulk).

a b c (Å): 5.2162 5.2162 6.3804
angles (deg): 90.00 90.00 120.00
Positions (direct):
Na: 0.3333 0.6667 0.1035
Na: 0.6667 0.3333 0.8965
Sr: 0.0000 0.0000 0.5000
H: 0.1501 0.3001 0.8422
H: 0.1501 0.8499 0.8422
H: 0.3001 0.1501 0.1578
H: 0.6999 0.8499 0.8422
H: 0.8499 0.1501 0.1578
H: 0.8499 0.6999 0.1578
Ir: 0.0000 0.0000 0.0000

Total magnetic moment in μB per atom: 0.066
Symmetry: P-3m1
DOS at the Fermi energy in states/eV/cell: 1.3
Total energy in eV per atom: -3.714